A geometry-optimized Pa2Al3Rh structure, computed with GGA-PBE.

Calculated values
DOS at the Fermi energy	9.24	states/eV per cell
electronic total energy	-6.821	eV per atom
total magnetic moment	0.00	μB/cell
offset from the most stable computed form	0	meV/atom

Cell: 5.626 5.626 8.300 Å, 90.00 90.00 120.00°
Fractional positions:
1 Pa 0.333 0.667 0.087
2 Pa 0.333 0.667 0.413
3 Pa 0.667 0.333 0.587
4 Pa 0.667 0.333 0.913
5 Al 0.165 0.330 0.750
6 Al 0.165 0.835 0.750
7 Al 0.330 0.165 0.250
8 Al 0.670 0.835 0.750
9 Al 0.835 0.165 0.250
10 Al 0.835 0.670 0.250
11 Rh 0.000 0.000 0.000
12 Rh 0.000 0.000 0.500